(1)
# VOsN2F

An optimized crystal structure of VOsN2F (GGA+U, the Alexandria database). Values from VASP.

```
&SYSTEM
  ibrav = 0, nat = 5, ntyp = 4
/
ATOMIC_SPECIES
F 19.00 F.upf
N 14.01 N.upf
Os 190.23 Os.upf
V 50.94 V.upf
CELL_PARAMETERS angstrom
3.8114 0.0000 0.0000
0.0000 3.8114 0.0000
0.0000 0.0000 4.4754
ATOMIC_POSITIONS crystal
F 0.0000 0.0000 0.5000
N 0.5000 0.0000 0.0000
Os 0.0000 0.0000 0.0000
N 0.0000 0.5000 0.0000
V 0.5000 0.5000 0.5000
```

Computed properties:
SG ... No. 123
Energy ... -6.799 eV/atom
Polymorph energy (0 for the lowest one) ... 0.0 kJ/mol of formula units

---

(2)
# OsWN2F

An optimized crystal structure of OsWN2F (GGA+U, the Alexandria database). Values from VASP.

```
&SYSTEM
  ibrav = 0, nat = 5, ntyp = 4
/
ATOMIC_SPECIES
W 183.84 W.upf
N 14.01 N.upf
F 19.00 F.upf
Os 190.23 Os.upf
CELL_PARAMETERS angstrom
3.8093 0.0000 0.0000
0.0000 3.8093 0.0000
0.0000 0.0000 4.7912
ATOMIC_POSITIONS crystal
W 0.5000 0.5000 0.5000
N 0.5000 0.0000 0.0000
F 0.0000 0.0000 0.5000
N 0.0000 0.5000 0.0000
Os 0.0000 0.0000 0.0000
```

Computed properties:
SG ... No. 123
Energy ... -6.658 eV/atom
Polymorph energy (0 for the lowest one) ... 0.0 kJ/mol of formula units